Record 1
A relaxed SbPbBr crystal. Source: Alexandria via LeMat-Bulk, functional PBE.

Cell and atoms, written as POSCAR:
```
SbPbBr
1.0
3.4076 0.0000 0.0000
-1.7038 5.6114 0.9851
0.0000 0.1043 10.5198
Pb Sb Br
2 2 2
Cartesian
1.7038 4.2769 10.7069
0.0000 1.4389 0.7980
0.0000 0.7010 3.8537
1.7038 5.0148 7.6512
1.7038 3.8459 3.9198
0.0000 1.8699 7.5851
```

Values from the calculation:
Energy above the lowest structure with this stoichiometry (kJ/mol of formula units): 12
DOS at the Fermi energy (states/eV per cell): 2.06
Uncorrected formation energy (meV/atom): -79
Theoretical density (g/cm³): 6.8

---

Record 2
A relaxed SbPbBr2 crystal. Source: Alexandria via LeMat-Bulk, functional PBE.

Cell and atoms, written as POSCAR:
```
SbPbBr2
1.0
-0.8457 -1.5446 8.3567
-5.9835 -5.8553 -1.6878
-0.9629 -6.1466 3.1304
Pb Sb Br
2 2 4
Cartesian
0.0000 0.0000 0.0000
-2.6116 -5.6955 7.4108
-3.4146 -3.6999 3.3344
-5.1805 -7.8509 2.3885
-1.5121 -3.2244 5.7432
-4.0913 -5.3987 0.8236
-3.3199 -7.4208 4.8382
-6.6610 -11.0488 8.1934
```

Values from the calculation:
Energy above the lowest structure with this stoichiometry (kJ/mol of formula units): 71
DOS at the Fermi energy (states/eV per cell): 4.55
Uncorrected formation energy (meV/atom): -129
Theoretical density (g/cm³): 6.4

---

Record 3
A relaxed SbPb2Br crystal. Source: Alexandria via LeMat-Bulk, functional PBE.

Cell and atoms, written as POSCAR:
```
SbPb2Br
1.0
6.1773 0.0000 0.0000
0.0000 3.5037 -0.0721
0.0000 0.0163 5.9951
Pb Sb Br
2 1 1
Cartesian
0.0000 3.1993 5.3030
3.0886 0.5993 2.2073
0.0000 1.6181 2.1552
3.0886 3.3833 5.1419
```

Values from the calculation:
Energy above the lowest structure with this stoichiometry (kJ/mol of formula units): 51
DOS at the Fermi energy (states/eV per cell): 1.27
Uncorrected formation energy (meV/atom): -223
Theoretical density (g/cm³): 7.9

---

Record 4
A relaxed SbPbBr2 crystal. Source: Alexandria via LeMat-Bulk, functional PBE.

Cell and atoms, written as POSCAR:
```
SbPbBr2
1.0
3.8621 0.0000 0.0000
0.0000 3.8621 0.0000
0.0000 0.0000 8.5877
Pb Sb Br
1 1 2
Cartesian
0.0000 0.0000 4.3918
1.9310 1.9310 6.4571
0.0000 0.0000 7.9557
1.9310 1.9310 2.6647
```

Values from the calculation:
Energy above the lowest structure with this stoichiometry (kJ/mol of formula units): 49
DOS at the Fermi energy (states/eV per cell): 2.65
Uncorrected formation energy (meV/atom): -185
Theoretical density (g/cm³): 6.3

---

Record 5
A relaxed SbPb2Br crystal. Source: Alexandria via LeMat-Bulk, functional PBE.

Cell and atoms, written as POSCAR:
```
SbPb2Br
1.0
-1.5214 1.8626 -2.6209
-2.5815 -1.1219 2.1749
0.9602 8.7110 5.6333
Pb Sb Br
2 1 1
Cartesian
0.9404 8.5315 5.5172
-1.7994 2.6572 1.2559
0.4649 4.2178 2.7276
-1.3083 7.1115 4.1364
```

Values from the calculation:
Energy above the lowest structure with this stoichiometry (kJ/mol of formula units): 116
DOS at the Fermi energy (states/eV per cell): 1.79
Uncorrected formation energy (meV/atom): -54
Theoretical density (g/cm³): 8.1

---

Record 6
A relaxed SbPb2Br crystal. Source: Alexandria via LeMat-Bulk, functional PBE.

Cell and atoms, written as POSCAR:
```
SbPb2Br
1.0
6.4555 0.0000 0.0000
0.0000 6.4515 0.2558
0.0000 -0.5059 13.3159
Sb Pb Br
4 8 4
Cartesian
1.6100 2.9100 8.4505
4.8454 3.0356 5.1212
1.6100 6.0084 11.9071
4.8454 -0.0628 1.6646
4.8379 -0.4518 11.9309
1.6176 6.3973 1.6409
4.8379 2.9186 8.1709
1.6176 3.0269 5.4008
4.8454 3.1513 2.0715
1.6101 2.7943 11.5002
4.8454 -0.1785 4.7144
1.6101 6.1240 8.8574
1.6184 -0.1881 4.9946
4.8371 6.1336 8.5772
1.6184 3.1608 1.7913
4.8371 2.7847 11.7804
```

Values from the calculation:
Energy above the lowest structure with this stoichiometry (kJ/mol of formula units): 23
DOS at the Fermi energy (states/eV per cell): 2.85
Uncorrected formation energy (meV/atom): -295
Theoretical density (g/cm³): 7.4